The following is a PBE-GGA calculation of Tb2Ho after structural relaxation, from Alexandria.

The structure belongs to space group I4/mmm (No. 139); the cell edges are 4.804, 4.804 and 17.148 Å and the angles 90.00°, 90.00° and 90.00°. The asymmetric unit holds Tb at (0.000, 0.000, 0.151), Tb at (0.000, 0.500, 0.000) and Ho at (0.000, 0.000, 0.350).

For the density of states at the Fermi level, the calculation gives 1.23 states/eV/atom. The value obtained for the energy above the most stable polymorph in this dataset is 200.3 meV per atom. For the total magnetic moment, the calculation gives 0.0 μB/f.u. The calculation puts the formation energy at 20.9 kJ/mol of atoms.

The following is a PBE-GGA calculation of Tb3Ho2 after structural relaxation, from Alexandria.

The structure belongs to space group C2/c (No. 15); the cell edges are 11.847, 6.255 and 9.160 Å and the angles 90.00°, 110.23° and 90.00°. The asymmetric unit holds Tb at (0.000, 0.167, 0.250), Tb at (0.199, 0.166, 0.650) and Ho at (0.100, 0.335, 0.950).

For the density of states at the Fermi level, the calculation gives 1.75 states/eV/atom. For the total magnetic moment, the calculation gives 0.0 μB/f.u. The calculation puts the formation energy at 0.9 kJ/mol of atoms.

The following is a PBE-GGA calculation of Tb3Ho13 after structural relaxation, from Alexandria.

The structure belongs to space group Amm2 (No. 38); the cell edges are 7.214, 11.178 and 12.473 Å and the angles 90.00°, 90.00° and 90.00°. The asymmetric unit holds Tb at (0.000, 0.000, 0.000), Tb at (0.250, 0.000, 0.749), Ho at (0.000, 0.000, 0.499), Ho at (0.000, 0.250, 0.166), Ho at (0.250, 0.000, 0.250), Ho at (0.250, 0.249, 0.416), Ho at (0.500, 0.000, 0.000), Ho at (0.500, 0.000, 0.499) and Ho at (0.500, 0.249, 0.166).

For the density of states at the Fermi level, the calculation gives 1.78 states/eV/atom. The value obtained for the energy above the most stable polymorph in this dataset is 0.0 meV per atom. For the total magnetic moment, the calculation gives 0.0 μB/f.u. The calculation puts the formation energy at 0.5 kJ/mol of atoms.

The following is a PBE-GGA calculation of Tb3Ho13 after structural relaxation, from Alexandria.

The structure belongs to space group Amm2 (No. 38); the cell edges are 9.952, 9.966 and 9.967 Å and the angles 90.00°, 90.00° and 90.00°. The asymmetric unit holds Tb at (0.000, 0.000, 0.000), Tb at (0.250, 0.000, 0.251), Ho at (0.000, 0.000, 0.501), Ho at (0.000, 0.250, 0.250), Ho at (0.250, 0.000, 0.750), Ho at (0.250, 0.250, 0.000), Ho at (0.500, 0.000, 0.000), Ho at (0.500, 0.000, 0.501) and Ho at (0.500, 0.250, 0.250).

For the density of states at the Fermi level, the calculation gives 1.13 states/eV/atom. The value obtained for the energy above the most stable polymorph in this dataset is 10.8 meV per atom. For the total magnetic moment, the calculation gives 0.0 μB/f.u. The calculation puts the formation energy at 1.6 kJ/mol of atoms.

The following is a PBE-GGA calculation of Tb5Ho after structural relaxation, from Alexandria.

The structure belongs to space group P2_1/m (No. 11); the cell edges are 6.141, 10.629 and 6.143 Å and the angles 90.00°, 109.37° and 90.00°. The asymmetric unit holds Tb at (0.250, 0.083, 0.000), Tb at (0.250, 0.250, 0.500), Tb at (0.250, 0.584, 0.500) and Ho at (0.250, 0.750, 0.000).

For the density of states at the Fermi level, the calculation gives 1.29 states/eV/atom. For the total magnetic moment, the calculation gives 0.0 μB/f.u. The calculation puts the formation energy at 1.5 kJ/mol of atoms.

The following is a PBE-GGA calculation of Tb4Ho5 after structural relaxation, from Alexandria.

The structure belongs to space group C2/m (No. 12); the cell edges are 11.717, 10.602 and 4.987 Å and the angles 90.00°, 115.10° and 90.00°. The asymmetric unit holds Tb at (0.167, 0.167, 0.167), Ho at (0.000, 0.000, 0.500), Ho at (0.000, 0.334, 0.500) and Ho at (0.166, 0.500, 0.166).

For the density of states at the Fermi level, the calculation gives 1.42 states/eV/atom. The value obtained for the energy above the most stable polymorph in this dataset is 0.0 meV per atom. For the total magnetic moment, the calculation gives 0.0 μB/f.u. The calculation puts the formation energy at 1.8 kJ/mol of atoms.

The following is a PBE-GGA calculation of Tb3Ho4 after structural relaxation, from Alexandria.

The structure belongs to space group C2/m (No. 12); the cell edges are 11.159, 4.993 and 7.896 Å and the angles 90.00°, 98.14° and 90.00°. The asymmetric unit holds Tb at (0.000, 0.000, 0.000), Tb at (0.072, 0.500, 0.714), Ho at (0.143, 0.000, 0.429) and Ho at (0.214, 0.500, 0.143).

For the density of states at the Fermi level, the calculation gives 1.31 states/eV/atom. For the total magnetic moment, the calculation gives 0.0 μB/f.u. The calculation puts the formation energy at 1.7 kJ/mol of atoms.

The following is a PBE-GGA calculation of TbHo8 after structural relaxation, from Alexandria.

The structure belongs to space group I4/mmm (No. 139); the cell edges are 10.567, 10.567 and 4.969 Å and the angles 90.00°, 90.00° and 90.00°. The asymmetric unit holds Tb at (0.000, 0.000, 0.000), Ho at (0.000, 0.334, 0.000) and Ho at (0.167, 0.167, 0.500).

For the density of states at the Fermi level, the calculation gives 1.40 states/eV/atom. For the total magnetic moment, the calculation gives 0.0 μB/f.u. The calculation puts the formation energy at 2.0 kJ/mol of atoms.

The following is a PBE-GGA calculation of Tb3Ho after structural relaxation, from Alexandria.

The structure belongs to space group Fm-3m (No. 225); the cell edges are 7.997, 7.997 and 7.997 Å and the angles 90.00°, 90.00° and 90.00°. The asymmetric unit holds Tb at (0.000, 0.000, 0.000), Tb at (0.250, 0.250, 0.250) and Ho at (0.000, 0.000, 0.500).

For the density of states at the Fermi level, the calculation gives 2.66 states/eV/atom. The value obtained for the energy above the most stable polymorph in this dataset is 135.7 meV per atom. For the total magnetic moment, the calculation gives 0.0 μB/f.u. The calculation puts the formation energy at 14.1 kJ/mol of atoms.

The following is a PBE-GGA calculation of Tb2Ho13 after structural relaxation, from Alexandria.

The structure belongs to space group P-1 (No. 2); the cell edges are 6.550, 8.656 and 8.906 Å and the angles 69.15°, 83.95° and 80.72°. The asymmetric unit holds Tb at (0.199, 0.304, 0.398), Ho at (0.000, 0.500, 0.000), Ho at (0.096, 0.925, 0.692), Ho at (0.134, 0.696, 0.267), Ho at (0.238, 0.076, 0.975), Ho at (0.334, 0.499, 0.667), Ho at (0.430, 0.923, 0.359) and Ho at (0.466, 0.697, 0.934).

For the density of states at the Fermi level, the calculation gives 1.96 states/eV/atom. The value obtained for the energy above the most stable polymorph in this dataset is 0.0 meV per atom. For the total magnetic moment, the calculation gives 0.0 μB/f.u. The calculation puts the formation energy at 4.9 kJ/mol of atoms.

The following is a PBE-GGA calculation of Tb2Ho after structural relaxation, from Alexandria.

The structure belongs to space group C2/m (No. 12); the cell edges are 11.201, 5.002 and 7.083 Å and the angles 90.00°, 108.44° and 90.00°. The asymmetric unit holds Tb at (0.000, 0.000, 0.249), Tb at (0.167, 0.500, 0.584) and Ho at (0.167, 0.500, 0.083).

For the density of states at the Fermi level, the calculation gives 1.34 states/eV/atom. The value obtained for the energy above the most stable polymorph in this dataset is 0.0 meV per atom. For the total magnetic moment, the calculation gives 0.0 μB/f.u. The calculation puts the formation energy at 1.6 kJ/mol of atoms.

The following is a PBE-GGA calculation of Tb7Ho3 after structural relaxation, from Alexandria.

The structure belongs to space group C2/m (No. 12); the cell edges are 25.360, 3.535 and 7.071 Å and the angles 90.00°, 98.01° and 90.00°. The asymmetric unit holds Tb at (0.000, 0.000, 0.000), Tb at (0.100, 0.500, 0.300), Tb at (0.100, 0.500, 0.800), Tb at (0.200, 0.000, 0.600), Ho at (0.000, 0.000, 0.500) and Ho at (0.200, 0.000, 0.100).

For the density of states at the Fermi level, the calculation gives 1.28 states/eV/atom. The value obtained for the energy above the most stable polymorph in this dataset is 0.0 meV per atom. For the total magnetic moment, the calculation gives 0.0 μB/f.u. The calculation puts the formation energy at 1.4 kJ/mol of atoms.

The following is a PBE-GGA calculation of Tb2Ho7 after structural relaxation, from Alexandria.

The structure belongs to space group P-62m (No. 189); the cell edges are 9.5910, 9.5910 and 3.5346 Å and the angles 90.00°, 90.00° and 120.00°. The asymmetric unit holds Tb at (0.3333, 0.6667, 0.0000), Ho at (0.0000, 0.0000, 0.5000), Ho at (0.0000, 0.3046, 0.0000) and Ho at (0.0000, 0.6406, 0.5000).

For the density of states at the Fermi level, the calculation gives 1.93 states/eV/atom. The value obtained for the energy above the most stable polymorph in this dataset is 19.1 meV per atom. For the total magnetic moment, the calculation gives 1.8 μB/f.u. The calculation puts the formation energy at 4.0 kJ/mol of atoms.

The following is a PBE-GGA calculation of Tb3Ho4 after structural relaxation, from Alexandria.

The structure belongs to space group Immm (No. 71); the cell edges are 3.526, 4.996 and 24.742 Å and the angles 90.00°, 90.00° and 90.00°. The asymmetric unit holds Tb at (0.000, 0.000, 0.000), Tb at (0.000, 0.000, 0.143), Ho at (0.000, 0.000, 0.286) and Ho at (0.000, 0.000, 0.428).

For the density of states at the Fermi level, the calculation gives 1.21 states/eV/atom. For the total magnetic moment, the calculation gives 0.0 μB/f.u. The calculation puts the formation energy at 1.7 kJ/mol of atoms.

The following is a PBE-GGA calculation of Tb2Ho7 after structural relaxation, from Alexandria.

The structure belongs to space group P-31m (No. 162); the cell edges are 6.1025, 6.1025 and 8.6263 Å and the angles 90.00°, 90.00° and 120.00°. The asymmetric unit holds Tb at (0.3333, 0.6667, 0.0000), Ho at (0.0000, 0.0000, 0.0000) and Ho at (0.0000, 0.3332, 0.6660).

For the density of states at the Fermi level, the calculation gives 1.46 states/eV/atom. The value obtained for the energy above the most stable polymorph in this dataset is 0.0 meV per atom. For the total magnetic moment, the calculation gives 0.0 μB/f.u. The calculation puts the formation energy at 2.2 kJ/mol of atoms.

The following is a PBE-GGA calculation of TbHo after structural relaxation, from Alexandria.

The structure belongs to space group Pmma (No. 51); the cell edges are 5.612, 3.616 and 6.261 Å and the angles 90.00°, 90.00° and 90.00°. The asymmetric unit holds Tb at (0.250, 0.000, 0.167) and Ho at (0.250, 0.500, 0.666).

For the density of states at the Fermi level, the calculation gives 1.60 states/eV/atom. The value obtained for the energy above the most stable polymorph in this dataset is 0.0 meV per atom. For the total magnetic moment, the calculation gives 0.0 μB/f.u. The calculation puts the formation energy at 0.8 kJ/mol of atoms.

The following is a PBE-GGA calculation of Tb4Ho after structural relaxation, from Alexandria.

The structure belongs to space group Pm-3m (No. 221); the cell edges are 5.643, 5.643 and 5.643 Å and the angles 90.00°, 90.00° and 90.00°. The asymmetric unit holds Tb at (0.000, 0.000, 0.000), Tb at (0.000, 0.500, 0.500) and Ho at (0.500, 0.500, 0.500).

For the density of states at the Fermi level, the calculation gives 1.43 states/eV/atom. The value obtained for the energy above the most stable polymorph in this dataset is 687.5 meV per atom. For the total magnetic moment, the calculation gives 0.1 μB/f.u. The calculation puts the formation energy at 67.8 kJ/mol of atoms.

The following is a PBE-GGA calculation of Tb4Ho after structural relaxation, from Alexandria.

The structure belongs to space group I4/mmm (No. 139); the cell edges are 4.505, 4.505 and 16.495 Å and the angles 90.00°, 90.00° and 90.00°. The asymmetric unit holds Tb at (0.000, 0.000, 0.093), Tb at (0.000, 0.500, 0.250) and Ho at (0.000, 0.000, 0.500).

For the density of states at the Fermi level, the calculation gives 1.75 states/eV/atom. The value obtained for the energy above the most stable polymorph in this dataset is 353.7 meV per atom. For the total magnetic moment, the calculation gives 0.0 μB/f.u. The calculation puts the formation energy at 35.6 kJ/mol of atoms.

The following is a PBE-GGA calculation of TbHo4 after structural relaxation, from Alexandria.

The structure belongs to space group C2/m (No. 12); the cell edges are 6.101, 3.526 and 14.481 Å and the angles 90.00°, 97.94° and 90.00°. The asymmetric unit holds Tb at (0.000, 0.000, 0.000), Ho at (0.100, 0.500, 0.799) and Ho at (0.200, 0.000, 0.600).

For the density of states at the Fermi level, the calculation gives 1.37 states/eV/atom. The value obtained for the energy above the most stable polymorph in this dataset is 0.0 meV per atom. For the total magnetic moment, the calculation gives 0.0 μB/f.u. The calculation puts the formation energy at 1.9 kJ/mol of atoms.

The following is a PBE-GGA calculation of Tb3Ho after structural relaxation, from Alexandria.

The structure belongs to space group I4/mmm (No. 139); the cell edges are 5.004, 5.004 and 10.050 Å and the angles 90.00°, 90.00° and 90.00°. The asymmetric unit holds Tb at (0.000, 0.000, 0.000), Tb at (0.000, 0.500, 0.250) and Ho at (0.000, 0.000, 0.500).

For the density of states at the Fermi level, the calculation gives 1.23 states/eV/atom. The value obtained for the energy above the most stable polymorph in this dataset is 3.6 meV per atom. For the total magnetic moment, the calculation gives 0.0 μB/f.u. The calculation puts the formation energy at 1.4 kJ/mol of atoms.